The following is a DFT calculation (PBE) of crystalline LuN2 at its relaxed geometry.

Cell: 4.455 4.455 4.455 Å, 60.00 60.00 60.00°
Sites, in units of the cell vectors:
N  0.625  0.625  0.625
N  0.125  0.625  0.625
N  0.625  0.125  0.625
N  0.625  0.625  0.125
Lu  0.250  0.250  0.250
Lu  0.000  0.000  0.000

- Mass density: 10.78 Mg/m³
- Symmetry: Fd-3m (227)

---

The following is a DFT calculation (PBE) of crystalline MgZrSi2 at its relaxed geometry.

Cell: 4.658 4.658 4.658 Å, 60.00 60.00 60.00°
Sites, in units of the cell vectors:
Si  0.250  0.250  0.250
Si  0.000  0.000  0.000
Zr  0.500  0.500  0.500
Mg  0.750  0.750  0.750

- Mass density: 3.99 Mg/m³
- Symmetry: F-43m (216)

---

The following is a DFT calculation (PBE) of crystalline MgTc at its relaxed geometry.

Cell: 4.954 8.678 4.583 Å, 90.00 90.00 90.03°
Sites, in units of the cell vectors:
Mg  0.833  0.825  0.500
Mg  0.994  0.010  0.000
Mg  0.519  0.499  0.000
Mg  0.494  0.823  0.000
Mg  0.019  0.335  0.000
Mg  0.333  0.008  0.500
Tc  0.301  0.631  0.500
Tc  0.332  0.328  0.500
Tc  0.832  0.505  0.500
Tc  0.021  0.657  0.000
Tc  0.801  0.202  0.500
Tc  0.521  0.177  0.000

- Mass density: 6.18 Mg/m³
- Symmetry: Pmc2_1 (26)

---

The following is a DFT calculation (PBE) of crystalline Te2Au at its relaxed geometry.

Cell: 16.714 8.884 4.449 Å, 90.00 90.00 90.00°
Sites, in units of the cell vectors:
Te  0.619  0.029  0.541
Te  0.494  0.694  0.084
Te  0.750  0.374  0.909
Te  0.370  0.357  0.489
Te  0.006  0.694  0.084
Te  0.119  0.971  0.541
Te  0.250  0.626  0.909
Te  0.994  0.306  0.084
Te  0.630  0.643  0.489
Te  0.870  0.643  0.489
Te  0.750  0.983  0.983
Te  0.881  0.029  0.541
Te  0.250  0.017  0.983
Te  0.381  0.971  0.541
Te  0.130  0.357  0.489
Te  0.506  0.306  0.084
Au  0.750  0.677  0.000
Au  0.000  0.000  0.033
Au  0.626  0.335  0.508
Au  0.250  0.323  0.000
Au  0.500  0.000  0.033
Au  0.374  0.665  0.508
Au  0.126  0.665  0.508
Au  0.874  0.335  0.508

- Mass density: 9.09 Mg/m³
- Symmetry: Pma2 (28)

---

Number 1: VASP energy -5.851 eV per atom. Number 2: VASP energy -4.987 eV per atom. Number 3: VASP energy -5.739 eV per atom. Number 4: VASP energy -3.267 eV per atom.